# 1
# Ag2MoRh2 (PBE, optimized geometry)
# Formation energy from the elements ... 0.66 eV/atom
# Polymorph energy (0 for the lowest one) ... 191.8 meV per atom
# Magnetic moment ... 0.165 μB/atom
data_Ag2MoRh2
_chemical_formula_sum 'Ag4 Mo2 Rh4'
_cell_length_a 3.545
_cell_length_b 3.545
_cell_length_c 13.888
_cell_angle_alpha 90.00
_cell_angle_beta 90.00
_cell_angle_gamma 90.00
_space_group_name_H-M_alt 'I 4/m m m'
_space_group_IT_number 139
_space_group_name_Hall '-I 4 2'
loop_
_atom_site_label
_atom_site_fract_x
_atom_site_fract_y
_atom_site_fract_z
Ag1 0.000 0.500 0.250
Mo1 0.000 0.000 0.000
Rh1 0.000 0.000 0.409



# 2
# MnCr4 (PBE, optimized geometry)
# Formation energy from the elements ... 0.73 eV/atom
# Polymorph energy (0 for the lowest one) ... 711.3 meV per atom
# Magnetic moment ... 0.590 μB/atom
data_MnCr4
_chemical_formula_sum 'Mn2 Cr8'
_cell_length_a 3.739
_cell_length_b 3.739
_cell_length_c 9.802
_cell_angle_alpha 90.00
_cell_angle_beta 90.00
_cell_angle_gamma 90.00
_space_group_name_H-M_alt 'I 4/m m m'
_space_group_IT_number 139
_space_group_name_Hall '-I 4 2'
loop_
_atom_site_label
_atom_site_fract_x
_atom_site_fract_y
_atom_site_fract_z
Mn1 0.000 0.000 0.000
Cr1 0.000 0.000 0.385
Cr2 0.000 0.500 0.250



# 3
# AcPm6SmY2 (PBE, optimized geometry)
# Formation energy from the elements ... 0.12 eV/atom
# Magnetic moment ... 0.000 μB/atom
data_AcPm6SmY2
_chemical_formula_sum 'Ac4 Pm24 Sm4 Y8'
_cell_length_a 9.546
_cell_length_b 15.335
_cell_length_c 9.714
_cell_angle_alpha 90.00
_cell_angle_beta 95.10
_cell_angle_gamma 90.00
_space_group_name_H-M_alt 'C 1 2/c 1'
_space_group_IT_number 15
_space_group_name_Hall '-C 2yc'
loop_
_atom_site_label
_atom_site_fract_x
_atom_site_fract_y
_atom_site_fract_z
Ac1 0.000 0.037 0.250
Pm1 0.066 0.179 0.942
Pm2 0.093 0.386 0.117
Pm3 0.222 0.229 0.321
Sm1 0.000 0.410 0.750
Y1 0.244 0.449 0.448



# 4
# BaNa3Ru (PBE, optimized geometry)
# Formation energy from the elements ... 1.71 eV/atom
# Polymorph energy (0 for the lowest one) ... 995.1 meV per atom
# Magnetic moment ... 0.200 μB/atom
data_BaNa3Ru
_chemical_formula_sum 'Ba1 Na3 Ru1'
_cell_length_a 6.158
_cell_length_b 6.158
_cell_length_c 6.158
_cell_angle_alpha 90.00
_cell_angle_beta 90.00
_cell_angle_gamma 90.00
_space_group_name_H-M_alt 'P m -3 m'
_space_group_IT_number 221
_space_group_name_Hall '-P 4 2 3'
loop_
_atom_site_label
_atom_site_fract_x
_atom_site_fract_y
_atom_site_fract_z
Ba1 0.000 0.000 0.000
Na1 0.000 0.000 0.500
Ru1 0.500 0.500 0.500